! FeTcSbO6 PBE with a Hubbard U optimized geometry; values from VASP
&SYSTEM
  ibrav = 0, nat = 18, ntyp = 4
/
ATOMIC_SPECIES
Tc 98.00 Tc.upf
O 16.00 O.upf
Fe 55.84 Fe.upf
Sb 121.76 Sb.upf
ATOMIC_POSITIONS crystal
Tc 0.667 0.333 0.750
O 0.337 0.339 0.871
O 0.002 0.339 0.629
O 0.339 0.002 0.129
Fe 0.000 0.000 0.500
O 0.663 0.002 0.371
O 0.998 0.337 0.129
Sb 0.667 0.333 0.250
Sb 0.333 0.667 0.750
O 0.337 0.998 0.629
O 0.998 0.661 0.371
O 0.663 0.661 0.129
O 0.661 0.998 0.871
O 0.339 0.337 0.371
O 0.661 0.663 0.629
O 0.002 0.663 0.871
Tc 0.333 0.667 0.250
Fe 0.000 0.000 0.000
CELL_PARAMETERS angstrom
-1.684 -4.923 -0.083
4.181 1.273 2.824
-5.198 1.662 6.946
! V: 207.1 Å³/cell
! space group: No. 163
! electronic total energy: -122.99 eV per cell